No. 1
Density functional theory data (PBE-GGA) for a relaxed Mn3ZnCd crystal.

Geometry as POSCAR:
```
Mn3ZnCd
1.0
5.033 0.000 0.000
0.000 5.033 0.000
0.000 0.000 5.033
Mn Zn Cd
3 1 1
Direct
0.000 0.000 0.500
0.000 0.500 0.000
0.500 0.000 0.000
0.500 0.500 0.500
0.000 0.000 0.000
```

The density of states at the Fermi level comes out at 4.5 states/eV per cell. The volume comes out at 127 Å³ per cell. The space group is Pm-3m, No. 221. Its uncorrected energy is -4.6127 eV per atom.

---

No. 2
Density functional theory data (PBE-GGA) for a relaxed Li2IrRu crystal.

Geometry as POSCAR:
```
Li2IrRu
1.0
2.540 -4.295 0.000
2.540 4.295 0.000
0.000 0.000 2.545
Li Ir Ru
2 1 1
Direct
0.000 0.500 0.000
0.500 0.000 0.000
0.000 0.000 0.500
0.500 0.500 0.500
```

The density of states at the Fermi level comes out at 4.3 states/eV per cell. The volume comes out at 56 Å³ per cell. The space group is Cmmm, No. 65. Its uncorrected energy is -5.3439 eV per atom.

---

No. 3
Density functional theory data (PBE-GGA) for a relaxed PmSc3Hg2 crystal.

Geometry as POSCAR:
```
PmSc3Hg2
1.0
7.711 -2.561 0.000
7.711 2.561 0.000
-3.615 0.000 7.597
Pm Sc Hg
2 6 4
Direct
0.129 0.129 0.181
0.871 0.871 0.819
0.066 0.066 0.721
0.301 0.301 0.006
0.384 0.384 0.464
0.616 0.616 0.536
0.699 0.699 0.994
0.934 0.934 0.279
0.227 0.227 0.613
0.499 0.499 0.827
0.501 0.501 0.173
0.773 0.773 0.387
```

The density of states at the Fermi level comes out at 13.4 states/eV per cell. The volume comes out at 300 Å³ per cell. The space group is C2/m, No. 12. Its uncorrected energy is -4.2904 eV per atom.

---

No. 4
Density functional theory data (PBE-GGA) for a relaxed Pm2Nd3Sm3 crystal.

Geometry as POSCAR:
```
Pm2Nd3Sm3
1.0
5.670 0.000 0.000
0.000 16.407 0.000
-2.827 0.000 6.043
Pm Nd Sm
4 6 6
Direct
0.223 0.130 0.446
0.223 0.370 0.446
0.777 0.630 0.554
0.777 0.870 0.554
0.076 0.593 0.151
0.076 0.907 0.151
0.264 0.750 0.528
0.736 0.250 0.472
0.924 0.093 0.849
0.924 0.407 0.849
0.380 0.551 0.760
0.380 0.949 0.760
0.460 0.250 0.920
0.540 0.750 0.080
0.620 0.051 0.240
0.620 0.449 0.240
```

The density of states at the Fermi level comes out at 23.0 states/eV per cell. The volume comes out at 562 Å³ per cell. The space group is P2_1/m, No. 11. Its uncorrected energy is -4.6236 eV per atom.

---

No. 5
Density functional theory data (PBE-GGA) for a relaxed Sr3NF2 crystal.

Geometry as POSCAR:
```
Sr3NF2
1.0
6.272 -3.629 0.000
6.272 3.629 0.000
-3.746 0.000 6.429
Sr N F
6 2 4
Direct
0.074 0.926 0.750
0.282 0.428 0.329
0.428 0.282 0.829
0.572 0.718 0.171
0.718 0.572 0.671
0.926 0.074 0.250
0.411 0.589 0.750
0.589 0.411 0.250
0.070 0.209 0.636
0.209 0.070 0.136
0.791 0.930 0.864
0.930 0.791 0.364
```

The density of states at the Fermi level comes out at 3.3 states/eV per cell. The uncorrected formation energy comes out at -12.77 eV per formula unit. The volume comes out at 293 Å³ per cell. The space group is C2/c, No. 15.

---

No. 6
Density functional theory data (PBE-GGA) for a relaxed KCaAsO4 crystal.

Geometry as POSCAR:
```
KCaAsO4
1.0
3.375 -5.130 0.000
3.375 5.130 0.000
0.000 0.000 7.089
K Ca As O
2 2 2 8
Direct
0.000 0.000 0.000
0.000 0.000 0.500
0.346 0.654 0.750
0.654 0.346 0.250
0.362 0.638 0.250
0.638 0.362 0.750
0.266 0.734 0.052
0.266 0.734 0.448
0.270 0.332 0.250
0.332 0.270 0.750
0.668 0.730 0.250
0.730 0.668 0.750
0.734 0.266 0.552
0.734 0.266 0.948
```

The density of states at the Fermi level comes out at 0.0 states/eV per cell. The uncorrected formation energy comes out at -14.00 eV per formula unit. The volume comes out at 245 Å³ per cell. The space group is Cmcm, No. 63.

---

No. 7
Density functional theory data (PBE-GGA) for a relaxed Be2ZnCrS crystal.

Geometry as POSCAR:
```
Be2ZnCrS
1.0
4.336 0.000 0.000
0.000 4.336 0.000
0.000 0.000 4.131
Be Zn Cr S
2 1 1 1
Direct
0.000 0.500 0.000
0.500 0.000 0.000
0.000 0.000 0.500
0.500 0.500 0.000
0.500 0.500 0.500
```

The density of states at the Fermi level comes out at 2.8 states/eV per cell. The uncorrected formation energy comes out at 3.53 eV per formula unit. The volume comes out at 78 Å³ per cell. The space group is P4/mmm, No. 123.